Entry 1:
A plane-wave DFT calculation with PBE-GGA was carried out for Ce2Tl3VSe6 after structural relaxation.

Cell: 7.1493 7.1493 8.1382 Å, 98.46 98.46 119.93°
Last column: magnetic moment on the atom in μB.
Atoms (fractional coordinates):
1 Ce 0.3341 0.6659 0.0000  0.74
2 Ce 0.6659 0.3341 0.0000  0.74
3 Tl 0.1730 0.8270 0.5000  0.00
4 Tl 0.8270 0.1730 0.5000  0.00
5 Tl 0.5000 0.5000 0.5000  0.00
6 V 0.0000 0.0000 0.0000  2.29
7 Se 0.9336 0.6245 0.8012  -0.04
8 Se 0.7592 0.7592 0.2063  -0.04
9 Se 0.0664 0.3755 0.1988  -0.04
10 Se 0.6245 0.9336 0.8012  -0.04
11 Se 0.2408 0.2408 0.7937  -0.04
12 Se 0.3755 0.0664 0.1988  -0.04

---

Entry 2:
A plane-wave DFT calculation with PBE-GGA was carried out for CeY2Tl3Se6 after structural relaxation.

Cell: 7.3494 7.3494 8.1408 Å, 98.65 98.65 119.98°
Last column: magnetic moment on the atom in μB.
Atoms (fractional coordinates):
1 Ce 0.0000 0.0000 0.0000  0.93
2 Y 0.3334 0.6666 0.0000  0.01
3 Y 0.6666 0.3334 0.0000  0.01
4 Tl 0.1661 0.8339 0.5000  0.00
5 Tl 0.8339 0.1661 0.5000  0.00
6 Tl 0.5000 0.5000 0.5000  0.00
7 Se 0.9312 0.5898 0.7935  -0.01
8 Se 0.7272 0.7272 0.2050  -0.01
9 Se 0.0688 0.4102 0.2065  -0.01
10 Se 0.5898 0.9312 0.7935  -0.01
11 Se 0.2728 0.2728 0.7950  -0.01
12 Se 0.4102 0.0688 0.2065  -0.01

---

Entry 3:
A plane-wave DFT calculation with PBE-GGA was carried out for Ce2YTl3Se6 after structural relaxation.

Cell: 7.4432 7.4432 8.1279 Å, 98.78 98.78 119.98°
Last column: magnetic moment on the atom in μB.
Atoms (fractional coordinates):
1 Ce 0.3334 0.6666 0.0000  0.95
2 Ce 0.6666 0.3334 0.0000  0.95
3 Y 0.0000 0.0000 0.0000  0.01
4 Tl 0.1670 0.8330 0.5000  0.00
5 Tl 0.8330 0.1670 0.5000  0.00
6 Tl 0.5000 0.5000 0.5000  0.00
7 Se 0.9310 0.6052 0.7931  -0.01
8 Se 0.7436 0.7436 0.2085  -0.01
9 Se 0.0690 0.3948 0.2069  -0.01
10 Se 0.6052 0.9310 0.7931  -0.01
11 Se 0.2564 0.2564 0.7915  -0.01
12 Se 0.3948 0.0690 0.2069  -0.01

---

Entry 4:
A plane-wave DFT calculation with PBE-GGA was carried out for CeY3Tl3Se8 after structural relaxation.

Cell: 8.3663 8.3666 9.1781 Å, 117.13 90.00 120.00°
Last column: magnetic moment on the atom in μB.
Atoms (fractional coordinates):
1 Ce 0.0000 0.0000 0.5000  0.16
2 Y 0.5000 0.0000 0.5000  0.00
3 Y 0.5000 0.5000 0.5000  0.00
4 Y 0.0000 0.5000 0.5000  0.00
5 Tl 0.0000 0.0000 0.0000  0.00
6 Tl 0.0000 0.5000 0.0000  0.00
7 Tl 0.5000 0.5000 0.0000  0.00
8 Se 0.2652 0.5304 0.2958  0.00
9 Se 0.7348 0.4696 0.7042  0.00
10 Se 0.7663 0.5327 0.2979  -0.01
11 Se 0.2337 0.4673 0.7021  -0.01
12 Se 0.7664 0.0313 0.2978  -0.01
13 Se 0.2336 0.9687 0.7022  -0.01
14 Se 0.2648 0.0313 0.2978  -0.01
15 Se 0.7352 0.9687 0.7022  -0.01

---

Entry 5:
A plane-wave DFT calculation with PBE-GGA was carried out for Ce2Tl3ZnSe6 after structural relaxation.

Cell: 7.2385 7.2385 8.1120 Å, 98.76 98.76 119.66°
Last column: magnetic moment on the atom in μB.
Atoms (fractional coordinates):
1 Ce 0.3340 0.6660 0.0000  0.57
2 Ce 0.6660 0.3340 0.0000  0.57
3 Tl 0.1710 0.8290 0.5000  0.00
4 Tl 0.8290 0.1710 0.5000  0.00
5 Tl 0.5000 0.5000 0.5000  0.00
6 Zn 0.0000 0.0000 0.0000  0.00
7 Se 0.9331 0.6168 0.8010  -0.02
8 Se 0.7447 0.7447 0.2089  -0.02
9 Se 0.0669 0.3832 0.1990  -0.02
10 Se 0.6168 0.9331 0.8010  -0.02
11 Se 0.2553 0.2553 0.7911  -0.02
12 Se 0.3832 0.0669 0.1990  -0.02

---

Entry 6:
A plane-wave DFT calculation with PBE-GGA was carried out for CeTl2Zn2Se4 after structural relaxation.

Cell: 4.1589 8.1062 7.9747 Å, 105.32 105.12 90.00°
Last column: magnetic moment on the atom in μB.
Atoms (fractional coordinates):
1 Ce 0.0000 0.0000 0.0000  1.01
2 Tl 0.1300 0.5411 0.2600  0.01
3 Tl 0.8700 0.4589 0.7400  0.01
4 Zn 0.6704 0.9791 0.3408  0.01
5 Zn 0.3296 0.0209 0.6592  0.01
6 Se 0.2038 0.1701 0.4076  0.00
7 Se 0.7962 0.8299 0.5924  0.00
8 Se 0.5232 0.7525 0.0463  -0.01
9 Se 0.4768 0.2475 0.9537  -0.01

---

Entry 7:
A plane-wave DFT calculation with PBE-GGA was carried out for Ce2TmSe4 after structural relaxation.

Cell: 3.9832 7.2411 14.0627 Å, 90.00 90.00 105.96°
Last column: magnetic moment on the atom in μB.
Atoms (fractional coordinates):
1 Ce 0.1333 0.2665 0.4287  1.00
2 Ce 0.8667 0.7335 0.9287  1.00
3 Ce 0.1333 0.2665 0.0713  1.00
4 Ce 0.8667 0.7335 0.5713  1.00
5 Tm 0.6255 0.2509 0.7500  0.06
6 Tm 0.3745 0.7491 0.2500  0.06
7 Se 0.7826 0.5653 0.1273  -0.02
8 Se 0.7826 0.5653 0.3727  -0.02
9 Se 0.2174 0.4347 0.8727  -0.02
10 Se 0.2174 0.4347 0.6273  -0.02
11 Se 0.9789 0.9577 0.7500  -0.01
12 Se 0.0211 0.0423 0.2500  -0.01
13 Se 0.5000 0.0000 0.0000  -0.03
14 Se 0.5000 0.0000 0.5000  -0.03

---

Entry 8:
A plane-wave DFT calculation with PBE-GGA was carried out for CeTmSe after structural relaxation.

Cell: 3.5791 3.5791 6.7013 Å, 105.49 105.49 90.00°
Last column: magnetic moment on the atom in μB.
Atoms (fractional coordinates):
1 Tm 0.6942 0.6942 0.3883  0.22
2 Ce 0.9785 0.9785 0.9570  0.96
3 Se 0.3273 0.3273 0.6547  -0.01

---

Entry 9:
A plane-wave DFT calculation with PBE-GGA was carried out for Ce2TmSe4 after structural relaxation.

Cell: 8.2062 8.2326 8.2326 Å, 61.11 60.11 60.11°
Last column: magnetic moment on the atom in μB.
Atoms (fractional coordinates):
1 Ce 0.0000 0.0000 0.0000  0.86
2 Ce 0.0000 0.0000 0.5000  0.99
3 Ce 0.0000 0.5000 0.5000  0.86
4 Ce 0.5000 0.0000 0.5000  0.99
5 Tm 0.5000 0.5000 0.0000  0.04
6 Tm 0.0000 0.5000 0.0000  0.04
7 Se 0.2578 0.2532 0.2311  -0.01
8 Se 0.7422 0.2689 0.2468  -0.01
9 Se 0.2578 0.7311 0.7532  -0.01
10 Se 0.7422 0.7468 0.7689  -0.01
11 Se 0.7545 0.7444 0.2444  -0.02
12 Se 0.7433 0.2556 0.7556  -0.02
13 Se 0.2567 0.7444 0.2444  -0.02
14 Se 0.2455 0.2556 0.7556  -0.02

---

Entry 10:
A plane-wave DFT calculation with PBE-GGA was carried out for Ce3TmSe4 after structural relaxation.

Cell: 4.1316 7.2093 7.2093 Å, 109.18 90.00 90.00°
Last column: magnetic moment on the atom in μB.
Atoms (fractional coordinates):
1 Tm 0.5000 0.0000 0.0000  -0.01
2 Se 0.0000 0.2382 0.2382  -0.01
3 Se 0.5000 0.7562 0.2438  -0.01
4 Se 0.0000 0.7618 0.7618  -0.01
5 Se 0.5000 0.2438 0.7562  -0.01
6 Ce 0.0000 0.0000 0.5000  0.70
7 Ce 0.5000 0.5000 0.5000  0.85
8 Ce 0.0000 0.5000 0.0000  0.70

---

Entry 11:
A plane-wave DFT calculation with PBE-GGA was carried out for CeTmSe2 after structural relaxation.

Cell: 3.9686 3.9686 7.3877 Å, 90.00 90.00 120.00°
Last column: magnetic moment on the atom in μB.
Atoms (fractional coordinates):
1 Ce 0.0000 0.5000 0.5000  1.04
2 Tm 0.0000 0.5000 0.0000  0.04
3 Se 0.6667 0.8334 0.7704  -0.01
4 Se 0.3333 0.1666 0.2296  -0.01

---

Entry 12:
A plane-wave DFT calculation with PBE-GGA was carried out for CeTm4Se6 after structural relaxation.

Cell: 4.0121 6.9242 20.5029 Å, 90.00 90.00 106.84°
Last column: magnetic moment on the atom in μB.
Atoms (fractional coordinates):
1 Ce 0.6556 0.3112 0.2500  1.03
2 Ce 0.3444 0.6888 0.7500  1.03
3 Tm 0.8594 0.7187 0.5382  0.00
4 Tm 0.4084 0.8169 0.1254  0.01
5 Tm 0.1406 0.2813 0.4618  0.00
6 Tm 0.5916 0.1831 0.8746  0.01
7 Tm 0.8594 0.7187 0.9618  0.00
8 Tm 0.1406 0.2813 0.0382  0.00
9 Tm 0.5916 0.1831 0.6254  0.01
10 Tm 0.4084 0.8169 0.3746  0.01
11 Se 0.5000 0.0000 0.0000  0.00
12 Se 0.5000 0.0000 0.5000  0.00
13 Se 0.0463 0.0926 0.3367  -0.01
14 Se 0.9537 0.9074 0.6633  -0.01
15 Se 0.9537 0.9074 0.8367  -0.01
16 Se 0.0463 0.0926 0.1633  -0.01
17 Se 0.7671 0.5341 0.4098  0.00
18 Se 0.2329 0.4659 0.5902  0.00
19 Se 0.2329 0.4659 0.9098  0.00
20 Se 0.7671 0.5341 0.0902  0.00
21 Se 0.3204 0.6407 0.2500  -0.01
22 Se 0.6796 0.3593 0.7500  -0.01

---

Entry 13:
A plane-wave DFT calculation with PBE-GGA was carried out for CeTm3Se6 after structural relaxation.

Cell: 4.0996 11.5341 11.7951 Å, 109.14 90.00 90.00°
Last column: magnetic moment on the atom in μB.
Atoms (fractional coordinates):
1 Ce 0.7500 0.0479 0.6959  0.92
2 Ce 0.2500 0.9521 0.3041  0.92
3 Tm 0.7500 0.4399 0.8342  0.00
4 Tm 0.2500 0.5601 0.1658  0.00
5 Tm 0.7500 0.6805 0.4992  0.00
6 Tm 0.2500 0.3195 0.5008  0.00
7 Tm 0.7500 0.1587 0.0859  0.00
8 Tm 0.2500 0.8413 0.9141  0.00
9 Se 0.7500 0.4802 0.6142  0.00
10 Se 0.2500 0.5198 0.3858  0.00
11 Se 0.7500 0.9167 0.0936  -0.01
12 Se 0.2500 0.0833 0.9064  -0.01
13 Se 0.7500 0.3924 0.0587  0.00
14 Se 0.2500 0.6076 0.9413  0.00
15 Se 0.7500 0.7366 0.2720  -0.01
16 Se 0.2500 0.2634 0.7280  -0.01
17 Se 0.7500 0.1188 0.4649  -0.02
18 Se 0.2500 0.8812 0.5351  -0.02
19 Se 0.7500 0.8022 0.7495  -0.01
20 Se 0.2500 0.1978 0.2505  -0.01

---

Entry 14:
A plane-wave DFT calculation with PBE-GGA was carried out for Ce2Tm3Se8 after structural relaxation.

Cell: 6.9097 8.1122 8.3780 Å, 118.96 106.55 90.00°
Last column: magnetic moment on the atom in μB.
Atoms (fractional coordinates):
1 Ce 0.3284 0.2589 0.5178  0.58
2 Ce 0.6716 0.7411 0.4822  0.58
3 Tm 0.5000 0.0000 0.0000  -0.01
4 Tm 0.0000 0.2590 0.0000  -0.01
5 Tm 0.0000 0.7410 0.0000  -0.01
6 Se 0.9009 0.6120 0.2239  -0.02
7 Se 0.0991 0.3880 0.7761  -0.02
8 Se 0.9171 0.1148 0.2295  -0.01
9 Se 0.0829 0.8852 0.7705  -0.01
10 Se 0.5887 0.6430 0.7569  -0.02
11 Se 0.5887 0.1140 0.7569  -0.02
12 Se 0.4113 0.8860 0.2431  -0.02
13 Se 0.4113 0.3570 0.2431  -0.02

---

Entry 15:
A plane-wave DFT calculation with PBE-GGA was carried out for CeTmSe after structural relaxation.

Cell: 3.8328 3.8328 6.7143 Å, 90.00 90.00 120.00°
Last column: magnetic moment on the atom in μB.
Atoms (fractional coordinates):
1 Tm 0.3333 0.6667 0.6079  0.26
2 Se 0.6667 0.3333 0.3430  0.00
3 Ce 0.0000 0.0000 0.0491  1.00

---

Entry 16:
A plane-wave DFT calculation with PBE-GGA was carried out for CeTm2Se4 after structural relaxation.

Cell: 4.0158 13.5132 13.5719 Å, 90.00 90.00 90.00°
Last column: magnetic moment on the atom in μB.
Atoms (fractional coordinates):
1 Ce 0.2500 0.8702 0.4116  1.06
2 Ce 0.7500 0.1298 0.5884  1.06
3 Ce 0.7500 0.6298 0.9116  1.06
4 Ce 0.2500 0.3702 0.0884  1.06
5 Tm 0.7500 0.8935 0.0747  0.04
6 Tm 0.2500 0.1065 0.9253  0.04
7 Tm 0.2500 0.6065 0.5747  0.04
8 Tm 0.7500 0.3935 0.4253  0.04
9 Tm 0.7500 0.8484 0.6992  0.04
10 Tm 0.2500 0.1516 0.3008  0.04
11 Tm 0.2500 0.6516 0.1992  0.04
12 Tm 0.7500 0.3484 0.8008  0.04
13 Se 0.2500 0.9670 0.6167  -0.01
14 Se 0.7500 0.0330 0.3833  -0.01
15 Se 0.7500 0.5330 0.1167  -0.01
16 Se 0.2500 0.4670 0.8833  -0.01
17 Se 0.7500 0.9673 0.8763  0.00
18 Se 0.2500 0.0327 0.1237  0.00
19 Se 0.2500 0.5327 0.3763  0.00
20 Se 0.7500 0.4673 0.6237  0.00
21 Se 0.7500 0.7875 0.2599  -0.01
22 Se 0.2500 0.2125 0.7401  -0.01
23 Se 0.2500 0.7125 0.7599  -0.01
24 Se 0.7500 0.2875 0.2401  -0.01
25 Se 0.2500 0.7577 0.0197  -0.01
26 Se 0.7500 0.2423 0.9803  -0.01
27 Se 0.7500 0.7423 0.5197  -0.01
28 Se 0.2500 0.2577 0.4803  -0.01

---

Entry 17:
A plane-wave DFT calculation with PBE-GGA was carried out for CeTm2Se after structural relaxation.

Cell: 3.6826 3.6826 9.8034 Å, 79.17 79.17 60.00°
Last column: magnetic moment on the atom in μB.
Atoms (fractional coordinates):
1 Ce 0.4998 0.4998 0.5006  0.99
2 Tm 0.0659 0.0659 0.8023  0.15
3 Tm 0.2676 0.2676 0.1972  0.08
4 Se 0.6667 0.6667 0.9999  0.00

---

Entry 18:
A plane-wave DFT calculation with PBE-GGA was carried out for Ce4TmSe5 after structural relaxation.

Cell: 4.1636 4.1636 14.9931 Å, 97.98 97.98 90.00°
Last column: magnetic moment on the atom in μB.
Atoms (fractional coordinates):
1 Ce 0.3996 0.3996 0.7992  0.70
2 Ce 0.8014 0.8014 0.6028  0.66
3 Ce 0.1986 0.1986 0.3972  0.66
4 Ce 0.6004 0.6004 0.2008  0.70
5 Tm 0.0000 0.0000 0.0000  0.03
6 Se 0.0965 0.0965 0.1929  -0.01
7 Se 0.5000 0.5000 0.0000  -0.01
8 Se 0.9035 0.9035 0.8071  -0.01
9 Se 0.2993 0.2993 0.5987  -0.02
10 Se 0.7007 0.7007 0.4013  -0.02

---

Entry 19:
A plane-wave DFT calculation with PBE-GGA was carried out for CeTmSe2 after structural relaxation.

Cell: 3.9525 3.9525 7.7125 Å, 75.15 75.15 60.00°
Last column: magnetic moment on the atom in μB.
Atoms (fractional coordinates):
1 Ce 0.6708 0.6708 0.9875  0.97
2 Tm 0.4960 0.4960 0.5121  -0.06
3 Se 0.0875 0.0875 0.7376  -0.01
4 Se 0.2457 0.2457 0.2629  -0.01

---

Entry 20:
A plane-wave DFT calculation with PBE-GGA was carried out for CeTm2Se3 after structural relaxation.

Cell: 4.0314 5.7841 7.1119 Å, 113.99 106.46 90.00°
Last column: magnetic moment on the atom in μB.
Atoms (fractional coordinates):
1 Ce 0.5000 0.0000 0.0000  0.81
2 Tm 0.1622 0.6622 0.3244  0.03
3 Tm 0.8378 0.3378 0.6756  0.03
4 Se 0.5000 0.5000 0.0000  0.00
5 Se 0.1767 0.1767 0.3535  0.00
6 Se 0.8233 0.8233 0.6465  0.00

---

Quick rundown of ΔE_f (raw), same order as above: -1.053 -1.364 -1.341 -1.438 -1.019 -0.776 -1.737 -0.869 -1.781 -1.784 -1.671 -1.779 -1.854 -1.758 -0.977 -1.842 -0.712 -1.781 -1.683 -1.715 eV per atom
Quick rundown of density, same order as above: 6.8 6.4 6.5 5.8 6.8 6.6 6.5 8.1 6.4 7.4 7.7 7.9 7.1 6.1 7.5 7.2 8.2 7.3 7.8 8.2 g cm⁻³
Quick rundown of total moment, same order as above: 4.0 1.0 2.0 0.1 1.0 1.3 2.4 1.6 2.2 2.7 1.4 1.1 1.0 1.0 1.8 1.3 1.6 3.3 1.1 1.1 μB/f.u.